Entry 1:
VASP calculation (PBE) on a relaxed structure of TbEr2NpO8.

## Properties
- Crystal system: monoclinic
- ΔE_f (raw): -38.6 eV/f.u.
- Space-group type: P2/m

Cell and atoms, written as POSCAR:
```
TbEr2NpO8
1.0
-3.166 2.016 0.822
-1.837 -1.456 -4.803
-3.063 -6.032 3.000
O Er Np Tb
8 2 1 1
Direct
0.498 0.746 0.500
0.502 0.254 0.500
0.468 0.228 0.000
0.020 0.760 0.777
0.020 0.760 0.223
0.980 0.240 0.223
0.532 0.772 0.000
0.980 0.240 0.777
0.500 0.500 0.259
0.500 0.500 0.741
0.000 0.000 0.000
0.000 0.000 0.500
```

=====

Entry 2:
VASP calculation (PBE) on a relaxed structure of Ac4PmAg5.

## Properties
- Crystal system: tetragonal
- Calculated formation energy: -249.5 kJ/mol of formula units
- Space-group type: P4/mmm

Cell and atoms, written as POSCAR:
```
Ac4PmAg5
1.0
-0.094 3.816 0.805
-2.546 0.550 -2.905
-14.948 -3.012 12.532
Ag Ac Pm
5 4 1
Direct
0.500 0.500 0.705
0.500 0.500 0.915
0.500 0.500 0.085
0.500 0.500 0.295
0.500 0.500 0.500
0.000 0.000 0.602
0.000 0.000 0.398
0.000 0.000 0.807
0.000 0.000 0.193
0.000 0.000 0.000
```

=====

Entry 3:
VASP calculation (PBE) on a relaxed structure of SrGaBi.

## Properties
- Crystal system: trigonal
- Calculated formation energy: -150.3 kJ/mol of formula units
- Space-group type: P3m1

Cell and atoms, written as POSCAR:
```
SrGaBi
1.0
5.156 0.000 0.000
0.000 4.632 0.000
0.000 -2.316 4.011
Sr Bi Ga
1 1 1
Direct
0.695 0.667 0.333
0.269 0.333 0.667
0.036 0.000 0.000
```

=====

For each record above, in turn, the calculated total magnetic moment values are 0.00 0.00 0.00 μB per formula unit.